Density functional theory data (PBE) for MgCd5Au3 after structural relaxation.

Summary:
- ΔH_f (0 K) (kcal/mol of atoms) = -2.29
- calculated density (g/cm³) = 8.9
- symmetry = C2/m, No. 12
- D(E_F) (states/eV/atom) = 0.2087
- magnetic moment (μB per formula unit) = 0.00
- uncorrected energy (eV/atom) = -1.877

Cell and atoms, written as CIF:
```
data_MgCd5Au3
_chemical_formula_sum 'Mg2 Cd10 Au6'
_symmetry_space_group_name_H-M 'P 1'
_symmetry_Int_Tables_number 1
_symmetry_space_group_name_Hall 'P 1'
_cell_length_a 6.5503
_cell_length_b 6.5503
_cell_length_c 10.4476
_cell_angle_alpha 82.51
_cell_angle_beta 82.51
_cell_angle_gamma 86.90
loop_
_atom_site_label
_atom_site_type_symbol
_atom_site_fract_x
_atom_site_fract_y
_atom_site_fract_z
Au1 Au 0.7108 0.7108 0.8540
Au2 Au 0.7357 0.7357 0.4134
Au3 Au 0.2643 0.2643 0.5866
Au4 Au 0.0000 0.0000 0.5000
Au5 Au 0.2892 0.2892 0.1460
Au6 Au 0.0000 0.0000 0.0000
Mg1 Mg 0.9943 0.9943 0.2474
Mg2 Mg 0.0057 0.0057 0.7526
Cd1 Cd 0.5888 0.9970 0.6425
Cd2 Cd 0.6940 0.3060 0.0000
Cd3 Cd 0.3060 0.6940 0.0000
Cd4 Cd 0.0030 0.4112 0.3575
Cd5 Cd 0.4690 0.4690 0.3430
Cd6 Cd 0.5310 0.5310 0.6570
Cd7 Cd 0.7185 0.7185 0.1288
Cd8 Cd 0.2815 0.2815 0.8712
Cd9 Cd 0.4112 0.0030 0.3575
Cd10 Cd 0.9970 0.5888 0.6425
```



Density functional theory data (PBE) for Mg2Cd2Au after structural relaxation.

Summary:
- ΔH_f (0 K) (kcal/mol of atoms) = -5.49
- calculated density (g/cm³) = 7.0
- excess energy over the best structure of this formula in the dataset (meV/atom) = 0
- symmetry = P2/m, No. 10
- D(E_F) (states/eV/atom) = 0.4286
- magnetic moment (μB per formula unit) = 0.00
- uncorrected energy (eV/atom) = -1.897

Cell and atoms, written as CIF:
```
data_Mg2Cd2Au
_chemical_formula_sum 'Mg2 Cd2 Au1'
_symmetry_space_group_name_H-M 'P 1'
_symmetry_Int_Tables_number 1
_symmetry_space_group_name_Hall 'P 1'
_cell_length_a 5.6662
_cell_length_b 4.6011
_cell_length_c 4.6809
_cell_angle_alpha 90.00
_cell_angle_beta 90.00
_cell_angle_gamma 65.89
loop_
_atom_site_label
_atom_site_type_symbol
_atom_site_fract_x
_atom_site_fract_y
_atom_site_fract_z
Au1 Au 0.0000 0.5000 0.0000
Cd1 Cd 0.6915 0.6537 0.5000
Cd2 Cd 0.3085 0.3463 0.5000
Mg1 Mg 0.2970 0.8519 0.9999
Mg2 Mg 0.7030 0.1481 0.0001
```



Density functional theory data (PBE) for Mg16Cd6Au7 after structural relaxation.

Summary:
- ΔH_f (0 K) (kcal/mol of atoms) = -8.05
- calculated density (g/cm³) = 6.7
- symmetry = Fm-3m, No. 225
- D(E_F) (states/eV/atom) = 0.2298
- magnetic moment (μB per formula unit) = 0.00
- uncorrected energy (eV/atom) = -2.209

Cell and atoms, written as CIF:
```
data_Mg16Cd6Au7
_chemical_formula_sum 'Mg16 Cd6 Au7'
_symmetry_space_group_name_H-M 'P 1'
_symmetry_Int_Tables_number 1
_symmetry_space_group_name_Hall 'P 1'
_cell_length_a 9.4766
_cell_length_b 9.4766
_cell_length_c 9.4766
_cell_angle_alpha 60.00
_cell_angle_beta 60.00
_cell_angle_gamma 60.00
loop_
_atom_site_label
_atom_site_type_symbol
_atom_site_fract_x
_atom_site_fract_y
_atom_site_fract_z
Cd1 Cd 0.7138 0.7138 0.2862
Cd2 Cd 0.7138 0.2862 0.2862
Cd3 Cd 0.2862 0.7138 0.2862
Cd4 Cd 0.2862 0.2862 0.7138
Cd5 Cd 0.2862 0.7138 0.7138
Cd6 Cd 0.7138 0.2862 0.7138
Mg1 Mg 0.3438 0.9685 0.3438
Mg2 Mg 0.3561 0.8813 0.8813
Mg3 Mg 0.6562 0.0315 0.6562
Mg4 Mg 0.8813 0.8813 0.8813
Mg5 Mg 0.6562 0.6562 0.6562
Mg6 Mg 0.1187 0.1187 0.6439
Mg7 Mg 0.9685 0.3438 0.3438
Mg8 Mg 0.6562 0.6562 0.0315
Mg9 Mg 0.8813 0.3561 0.8813
Mg10 Mg 0.0315 0.6562 0.6562
Mg11 Mg 0.1187 0.6439 0.1187
Mg12 Mg 0.8813 0.8813 0.3561
Mg13 Mg 0.3438 0.3438 0.9685
Mg14 Mg 0.3438 0.3438 0.3438
Mg15 Mg 0.1187 0.1187 0.1187
Mg16 Mg 0.6439 0.1187 0.1187
Au1 Au 0.0000 0.5000 0.5000
Au2 Au 0.0000 0.0000 0.0000
Au3 Au 0.5000 0.0000 0.0000
Au4 Au 0.0000 0.5000 0.0000
Au5 Au 0.5000 0.0000 0.5000
Au6 Au 0.5000 0.5000 0.0000
Au7 Au 0.0000 0.0000 0.5000
```



Density functional theory data (PBE) for Mg12Cd3Au after structural relaxation.

Summary:
- ΔH_f (0 K) (kcal/mol of atoms) = -2.97
- calculated density (g/cm³) = 4.0
- symmetry = P4/mmm, No. 123
- D(E_F) (states/eV/atom) = 0.4474
- magnetic moment (μB per formula unit) = 0.00
- uncorrected energy (eV/atom) = -1.701

Cell and atoms, written as CIF:
```
data_Mg12Cd3Au
_chemical_formula_sum 'Mg12 Cd3 Au1'
_symmetry_space_group_name_H-M 'P 1'
_symmetry_Int_Tables_number 1
_symmetry_space_group_name_Hall 'P 1'
_cell_length_a 4.4092
_cell_length_b 4.4092
_cell_length_c 17.5959
_cell_angle_alpha 90.00
_cell_angle_beta 90.00
_cell_angle_gamma 90.00
loop_
_atom_site_label
_atom_site_type_symbol
_atom_site_fract_x
_atom_site_fract_y
_atom_site_fract_z
Mg1 Mg 0.5000 0.0000 0.8847
Mg2 Mg 0.0000 0.5000 0.3719
Mg3 Mg 0.5000 0.0000 0.3719
Mg4 Mg 0.0000 0.5000 0.8847
Mg5 Mg 0.5000 0.5000 0.5000
Mg6 Mg 0.5000 0.5000 0.7566
Mg7 Mg 0.5000 0.0000 0.6281
Mg8 Mg 0.0000 0.5000 0.1153
Mg9 Mg 0.5000 0.5000 0.2434
Mg10 Mg 0.5000 0.5000 0.0000
Mg11 Mg 0.5000 0.0000 0.1153
Mg12 Mg 0.0000 0.5000 0.6281
Cd1 Cd 0.0000 0.0000 0.2444
Cd2 Cd 0.0000 0.0000 0.5000
Cd3 Cd 0.0000 0.0000 0.7556
Au1 Au 0.0000 0.0000 0.0000
```



Density functional theory data (PBE) for MgCdAu6 after structural relaxation.

Summary:
- ΔH_f (0 K) (kcal/mol of atoms) = -5.88
- calculated density (g/cm³) = 15.0
- symmetry = P4/mmm, No. 123
- D(E_F) (states/eV/atom) = 0.3176
- magnetic moment (μB per formula unit) = 0.00
- uncorrected energy (eV/atom) = -3.027

Cell and atoms, written as CIF:
```
data_MgCdAu6
_chemical_formula_sum 'Mg1 Cd1 Au6'
_symmetry_space_group_name_H-M 'P 1'
_symmetry_Int_Tables_number 1
_symmetry_space_group_name_Hall 'P 1'
_cell_length_a 4.1716
_cell_length_b 4.1716
_cell_length_c 8.3876
_cell_angle_alpha 90.00
_cell_angle_beta 90.00
_cell_angle_gamma 90.00
loop_
_atom_site_label
_atom_site_type_symbol
_atom_site_fract_x
_atom_site_fract_y
_atom_site_fract_z
Au1 Au 0.5000 0.0000 0.2436
Au2 Au 0.5000 0.5000 0.5000
Au3 Au 0.5000 0.5000 0.0000
Au4 Au 0.0000 0.5000 0.7564
Au5 Au 0.5000 0.0000 0.7564
Au6 Au 0.0000 0.5000 0.2436
Cd1 Cd 0.0000 0.0000 0.5000
Mg1 Mg 0.0000 0.0000 0.0000
```



Density functional theory data (PBE) for Mg2CdAu7 after structural relaxation.

Summary:
- ΔH_f (0 K) (kcal/mol of atoms) = -1.65
- calculated density (g/cm³) = 10.9
- excess energy over the best structure of this formula in the dataset (meV/atom) = 192
- symmetry = Cmmm, No. 65
- D(E_F) (states/eV/atom) = 0.3417
- magnetic moment (μB per formula unit) = 0.00
- uncorrected energy (eV/atom) = -2.776

Cell and atoms, written as CIF:
```
data_Mg2CdAu7
_chemical_formula_sum 'Mg2 Cd1 Au7'
_symmetry_space_group_name_H-M 'P 1'
_symmetry_Int_Tables_number 1
_symmetry_space_group_name_Hall 'P 1'
_cell_length_a 4.4393
_cell_length_b 8.0438
_cell_length_c 8.0438
_cell_angle_alpha 125.13
_cell_angle_beta 90.00
_cell_angle_gamma 90.00
loop_
_atom_site_label
_atom_site_type_symbol
_atom_site_fract_x
_atom_site_fract_y
_atom_site_fract_z
Mg1 Mg 0.5000 0.7011 0.2989
Mg2 Mg 0.5000 0.2989 0.7011
Au1 Au 0.5000 0.5000 0.5000
Au2 Au 0.0000 0.1939 0.8061
Au3 Au 0.0000 0.8061 0.1939
Au4 Au 0.5000 0.0844 0.2946
Au5 Au 0.5000 0.2946 0.0844
Au6 Au 0.5000 0.9156 0.7054
Au7 Au 0.5000 0.7054 0.9156
Cd1 Cd 0.0000 0.0000 0.0000
```



Density functional theory data (PBE) for Mg2Cd2Au after structural relaxation.

Summary:
- ΔH_f (0 K) (kcal/mol of atoms) = 2.90
- calculated density (g/cm³) = 6.9
- excess energy over the best structure of this formula in the dataset (meV/atom) = 364
- symmetry = I4/mmm, No. 139
- D(E_F) (states/eV/atom) = 0.4328
- magnetic moment (μB per formula unit) = 0.00
- uncorrected energy (eV/atom) = -1.534

Cell and atoms, written as CIF:
```
data_Mg2Cd2Au
_chemical_formula_sum 'Mg2 Cd2 Au1'
_symmetry_space_group_name_H-M 'P 1'
_symmetry_Int_Tables_number 1
_symmetry_space_group_name_Hall 'P 1'
_cell_length_a 3.9856
_cell_length_b 3.9856
_cell_length_c 7.6437
_cell_angle_alpha 74.89
_cell_angle_beta 74.89
_cell_angle_gamma 90.00
loop_
_atom_site_label
_atom_site_type_symbol
_atom_site_fract_x
_atom_site_fract_y
_atom_site_fract_z
Cd1 Cd 0.4036 0.4036 0.1929
Cd2 Cd 0.5964 0.5964 0.8071
Mg1 Mg 0.2500 0.7500 0.5000
Mg2 Mg 0.7500 0.2500 0.5000
Au1 Au 0.0000 0.0000 0.0000
```



Density functional theory data (PBE) for MgCd2Au after structural relaxation.

Summary:
- ΔH_f (0 K) (kcal/mol of atoms) = -5.27
- calculated density (g/cm³) = 9.3
- symmetry = F222, No. 22
- D(E_F) (states/eV/atom) = 0.1858
- magnetic moment (μB per formula unit) = 0.00
- uncorrected energy (eV/atom) = -1.904

Cell and atoms, written as CIF:
```
data_MgCd2Au
_chemical_formula_sum 'Mg1 Cd2 Au1'
_symmetry_space_group_name_H-M 'P 1'
_symmetry_Int_Tables_number 1
_symmetry_space_group_name_Hall 'P 1'
_cell_length_a 5.1847
_cell_length_b 5.1847
_cell_length_c 5.0756
_cell_angle_alpha 128.79
_cell_angle_beta 128.78
_cell_angle_gamma 76.92
loop_
_atom_site_label
_atom_site_type_symbol
_atom_site_fract_x
_atom_site_fract_y
_atom_site_fract_z
Cd1 Cd 0.2499 0.7499 0.5000
Cd2 Cd 0.0000 0.0000 0.0000
Mg1 Mg 0.5000 0.5000 0.0000
Au1 Au 0.7501 0.2501 0.5000
```



Density functional theory data (PBE) for Mg3CdAu4 after structural relaxation.

Summary:
- ΔH_f (0 K) (kcal/mol of atoms) = -11.75
- calculated density (g/cm³) = 11.0
- symmetry = P4/mmm, No. 123
- D(E_F) (states/eV/atom) = 0.2948
- magnetic moment (μB per formula unit) = 0.00
- uncorrected energy (eV/atom) = -2.860

Cell and atoms, written as CIF:
```
data_Mg3CdAu4
_chemical_formula_sum 'Mg6 Cd2 Au8'
_symmetry_space_group_name_H-M 'P 1'
_symmetry_Int_Tables_number 1
_symmetry_space_group_name_Hall 'P 1'
_cell_length_a 4.6893
_cell_length_b 6.7076
_cell_length_c 9.3743
_cell_angle_alpha 90.00
_cell_angle_beta 90.00
_cell_angle_gamma 90.00
loop_
_atom_site_label
_atom_site_type_symbol
_atom_site_fract_x
_atom_site_fract_y
_atom_site_fract_z
Au1 Au 0.0004 0.7611 0.7500
Au2 Au 0.9996 0.7611 0.2500
Au3 Au 0.5000 0.7609 0.5000
Au4 Au 0.9996 0.2389 0.2500
Au5 Au 0.5000 0.7609 0.0000
Au6 Au 0.5000 0.2391 0.5000
Au7 Au 0.5000 0.2391 0.0000
Au8 Au 0.0004 0.2389 0.7500
Cd1 Cd 0.0000 0.5000 0.5000
Cd2 Cd 0.0000 0.5000 0.0000
Mg1 Mg 0.5004 0.0000 0.7500
Mg2 Mg 0.0000 0.0000 0.5000
Mg3 Mg 0.4997 0.5000 0.2500
Mg4 Mg 0.4996 0.0000 0.2500
Mg5 Mg 0.0000 0.0000 0.0000
Mg6 Mg 0.5003 0.5000 0.7500
```



Density functional theory data (PBE) for Mg6CdAu12 after structural relaxation.

Summary:
- ΔH_f (0 K) (kcal/mol of atoms) = -8.95
- calculated density (g/cm³) = 11.8
- symmetry = R-3, No. 148
- D(E_F) (states/eV/atom) = 0.3703
- magnetic moment (μB per formula unit) = 0.00
- uncorrected energy (eV/atom) = -3.010

Cell and atoms, written as CIF:
```
data_Mg6CdAu12
_chemical_formula_sum 'Mg6 Cd1 Au12'
_symmetry_space_group_name_H-M 'P 1'
_symmetry_Int_Tables_number 1
_symmetry_space_group_name_Hall 'P 1'
_cell_length_a 7.6307
_cell_length_b 7.6307
_cell_length_c 7.6307
_cell_angle_alpha 107.16
_cell_angle_beta 107.16
_cell_angle_gamma 107.16
loop_
_atom_site_label
_atom_site_type_symbol
_atom_site_fract_x
_atom_site_fract_y
_atom_site_fract_z
Mg1 Mg 0.4767 0.2068 0.0799
Mg2 Mg 0.9201 0.5233 0.7932
Mg3 Mg 0.5233 0.7932 0.9201
Mg4 Mg 0.0799 0.4767 0.2068
Mg5 Mg 0.2068 0.0799 0.4767
Mg6 Mg 0.7932 0.9201 0.5233
Au1 Au 0.8300 0.1338 0.2637
Au2 Au 0.8662 0.7363 0.1700
Au3 Au 0.2637 0.8300 0.1338
Au4 Au 0.1338 0.2637 0.8300
Au5 Au 0.8091 0.5286 0.4136
Au6 Au 0.4136 0.8091 0.5286
Au7 Au 0.7363 0.1700 0.8662
Au8 Au 0.1700 0.8662 0.7363
Au9 Au 0.1909 0.4714 0.5864
Au10 Au 0.5286 0.4136 0.8091
Au11 Au 0.5864 0.1909 0.4714
Au12 Au 0.4714 0.5864 0.1909
Cd1 Cd 0.0000 0.0000 0.0000
```



Density functional theory data (PBE) for Mg2CdAu after structural relaxation.

Summary:
- ΔH_f (0 K) (kcal/mol of atoms) = -2.79
- calculated density (g/cm³) = 6.6
- excess energy over the best structure of this formula in the dataset (meV/atom) = 245
- symmetry = I-42d, No. 122
- D(E_F) (states/eV/atom) = 0.3393
- magnetic moment (μB per formula unit) = 0.00
- uncorrected energy (eV/atom) = -1.967

Cell and atoms, written as CIF:
```
data_Mg2CdAu
_chemical_formula_sum 'Mg4 Cd2 Au2'
_symmetry_space_group_name_H-M 'P 1'
_symmetry_Int_Tables_number 1
_symmetry_space_group_name_Hall 'P 1'
_cell_length_a 7.7593
_cell_length_b 7.7593
_cell_length_c 6.2484
_cell_angle_alpha 51.62
_cell_angle_beta 51.62
_cell_angle_gamma 90.00
loop_
_atom_site_label
_atom_site_type_symbol
_atom_site_fract_x
_atom_site_fract_y
_atom_site_fract_z
Cd1 Cd 0.2500 0.7500 0.5000
Cd2 Cd 0.5000 0.5000 0.0000
Mg1 Mg 0.0918 0.6250 0.2500
Mg2 Mg 0.3750 0.3418 0.7500
Mg3 Mg 0.8750 0.9082 0.7500
Mg4 Mg 0.6582 0.1250 0.2500
Au1 Au 0.0000 0.0000 0.0000
Au2 Au 0.7500 0.2500 0.5000
```



Density functional theory data (PBE) for Mg6CdAu5 after structural relaxation.

Summary:
- ΔH_f (0 K) (kcal/mol of atoms) = -12.17
- calculated density (g/cm³) = 9.3
- symmetry = Immm, No. 71
- D(E_F) (states/eV/atom) = 0.3429
- magnetic moment (μB per formula unit) = 0.00
- uncorrected energy (eV/atom) = -2.767

Cell and atoms, written as CIF:
```
data_Mg6CdAu5
_chemical_formula_sum 'Mg6 Cd1 Au5'
_symmetry_space_group_name_H-M 'P 1'
_symmetry_Int_Tables_number 1
_symmetry_space_group_name_Hall 'P 1'
_cell_length_a 4.7548
_cell_length_b 8.1991
_cell_length_c 8.1991
_cell_angle_alpha 120.93
_cell_angle_beta 106.86
_cell_angle_gamma 106.86
loop_
_atom_site_label
_atom_site_type_symbol
_atom_site_fract_x
_atom_site_fract_y
_atom_site_fract_z
Mg1 Mg 0.2349 0.7348 0.7348
Mg2 Mg 0.7424 0.9151 0.5696
Mg3 Mg 0.2576 0.0849 0.4304
Mg4 Mg 0.2576 0.4304 0.0849
Mg5 Mg 0.7651 0.2652 0.2652
Mg6 Mg 0.7424 0.5696 0.9151
Au1 Au 0.0000 0.6682 0.3318
Au2 Au 0.0000 0.3318 0.6682
Au3 Au 0.5000 0.1571 0.8429
Au4 Au 0.5000 0.5000 0.5000
Au5 Au 0.5000 0.8429 0.1571
Cd1 Cd 0.0000 0.0000 0.0000
```



> Which of these has the lowest ΔH_f (0 K)?

Mg6CdAu5



> Which of these has the lowest ΔH_f (0 K)?

Mg6CdAu5